# NaSOF2 | the Alexandria database | SCAN | single point on PBEsol structure
# DFT total energy	-5.5465	eV/atom
# formation energy from raw total energies	-11.2	kJ/mol of atoms
data_NaSOF2
_chemical_formula_sum 'Na1 S1 O1 F2'
_cell_length_a 3.892
_cell_length_b 3.892
_cell_length_c 4.243
_cell_angle_alpha 90.00
_cell_angle_beta 90.00
_cell_angle_gamma 90.00
_space_group_name_H-M_alt 'P 4/m m m'
_space_group_IT_number 123
_space_group_name_Hall '-P 4 2'
loop_
_atom_site_label
_atom_site_fract_x
_atom_site_fract_y
_atom_site_fract_z
Na1 0.000 0.000 0.000
S1 0.500 0.500 0.500
O1 0.000 0.000 0.500
F1 0.000 0.500 0.000